(1)
# PuInSi

A geometry-optimized PuInSi structure (PBE, OQMD).

Cell lengths 4.694, 4.694, 4.694 Å; angles 60.00, 60.00, 60.00 degrees
Sites, in units of the cell vectors:
Pu: 0.000 0.000 0.000
In: 0.500 0.500 0.500
Si: 0.750 0.750 0.750

Computed properties:
Uncorrected energy, eV per atom: -7.5699

(2)
# HoTm2AlCd3Ga2

A geometry-optimized HoTm2AlCd3Ga2 structure (PBE, OQMD).

Cell lengths 4.402, 7.210, 7.210 Å; angles 120.12, 90.00, 90.00 degrees
Sites, in units of the cell vectors:
Ho: 0.000 0.000 0.000
Tm: 0.000 0.434 0.868
Tm: 0.000 0.868 0.434
Al: 0.000 0.435 0.435
Cd: 0.500 0.187 0.434
Cd: 0.500 0.434 0.187
Cd: 0.500 0.681 0.681
Ga: 0.500 0.101 0.766
Ga: 0.500 0.766 0.101

Computed properties:
Uncorrected energy, eV per atom: -3.3576

(3)
# AcScCu

A geometry-optimized AcScCu structure (PBE, OQMD).

Cell lengths 4.950, 4.950, 4.950 Å; angles 60.00, 60.00, 60.00 degrees
Sites, in units of the cell vectors:
Ac: 0.000 0.000 0.000
Sc: 0.500 0.500 0.500
Cu: 0.250 0.250 0.250

Computed properties:
E_form, eV/atom: 0.181
Uncorrected energy, eV per atom: -4.5359